K3Ho3AlSe8 | GGA-PBE | relaxed

The space group is C2/m (No. 12) and the conventional cell measures 14.040, 8.097 and 9.214 Å, with angles of 90.00, 120.54 and 90.00 degrees. The asymmetric unit holds K at (0.000, 0.000, 0.000), K at (0.250, 0.250, 0.000), Ho at (0.000, 0.500, 0.500), Ho at (0.250, 0.250, 0.500), Al at (0.000, 0.000, 0.500), Se at (0.014, 0.233, 0.309), Se at (0.219, 0.000, 0.692) and Se at (0.235, 0.500, 0.706).

The calculation puts the total energy at -4.7081 eV/atom. Its total magnetization is 0.0 Bohr magnetons per cell.

CaPm6Ho6 | GGA-PBE | relaxed

The space group is P6/mmm (No. 191) and the conventional cell measures 6.7766, 6.7766 and 11.3962 Å, with angles of 90.00, 90.00 and 120.00 degrees. The asymmetric unit holds Ca at (0.0000, 0.0000, 0.0000), Pm at (0.0000, 0.0000, 0.3472), Pm at (0.3333, 0.6667, 0.0000), Pm at (0.3333, 0.6667, 0.5000) and Ho at (0.0000, 0.5000, 0.2490).

The calculation puts the total energy at -4.2028 eV/atom. The formation energy is 0.2565 eV/atom. Its total magnetization is 0.0 Bohr magnetons per cell.